Entry 1:
Material: ZrTlHgF7
Method: DFT, PBE
State: relaxed

Cell lengths 6.404, 6.404, 8.483 Å; angles 90.00, 90.00, 115.94 degrees
Sites, in units of the cell vectors:
F  0.277  0.723  0.016
F  0.345  0.068  0.750
Zr  0.300  0.700  0.250
F  0.514  0.486  0.750
Hg  0.690  0.310  0.250
Tl  0.000  0.000  0.000
Tl  0.000  0.000  0.500
F  0.723  0.277  0.516
F  0.277  0.723  0.484
Hg  0.310  0.690  0.750
F  0.932  0.655  0.750
F  0.962  0.686  0.250
F  0.655  0.932  0.250
F  0.038  0.314  0.750
F  0.314  0.038  0.250
Zr  0.700  0.300  0.750
F  0.723  0.277  0.984
F  0.068  0.345  0.250
F  0.486  0.514  0.250
F  0.686  0.962  0.750

Properties
* space group: No. 63
* E_tot: -5.05 eV/atom
* crystal system: orthorhombic
* ΔE to the lowest computed polymorph: 0 meV per atom
* calculated volume: 312.9 Å³/cell

=====

Entry 2:
Material: TmHg3F
Method: DFT, PBE
State: relaxed

Cell lengths 4.904, 4.904, 4.904 Å; angles 90.00, 90.00, 90.00 degrees
Sites, in units of the cell vectors:
Hg  0.000  0.500  0.500
F  0.500  0.500  0.500
Hg  0.500  0.500  0.000
Hg  0.500  0.000  0.500
Tm  0.000  0.000  0.000

Properties
* space group: No. 221
* E_tot: -1.77 eV/atom
* crystal system: cubic
* calculated volume: 117.9 Å³/cell

=====

Entry 3:
Material: HoF2
Method: DFT, PBE
State: relaxed

Cell lengths 3.909, 4.851, 7.979 Å; angles 90.00, 90.00, 90.00 degrees
Sites, in units of the cell vectors:
F  0.772  0.967  0.566
F  0.773  0.259  0.342
F  0.727  0.741  0.842
F  0.227  0.759  0.158
F  0.728  0.033  0.066
Ho  0.726  0.505  0.102
F  0.228  0.467  0.934
F  0.272  0.533  0.434
Ho  0.226  0.995  0.898
Ho  0.774  0.495  0.602
F  0.273  0.241  0.658
Ho  0.274  0.005  0.398

Properties
* space group: No. 19
* E_tot: -5.98 eV/atom
* crystal system: orthorhombic
* calculated volume: 151.3 Å³/cell

=====

Entry 4:
Material: HoF2
Method: DFT, PBE
State: relaxed

Cell lengths 4.694, 4.694, 4.694 Å; angles 60.00, 60.00, 60.00 degrees
Last column: magnetic moment on the atom in μB.
Sites, in units of the cell vectors:
F  0.125  0.625  0.625  0.00
F  0.625  0.625  0.125  -0.01
F  0.625  0.625  0.625  -0.01
Ho  0.250  0.250  0.250  1.09
F  0.625  0.125  0.625  0.00
Ho  0.000  0.000  0.000  1.09

Properties
* space group: No. 227
* E_tot: -4.47 eV/atom
* crystal system: cubic
* calculated volume: 73.1 Å³/cell

=====

Entry 5:
Material: HoF2
Method: DFT, PBE
State: relaxed

Cell lengths 4.928, 4.928, 3.865 Å; angles 90.00, 90.00, 90.00 degrees
Last column: magnetic moment on the atom in μB.
Sites, in units of the cell vectors:
F  0.318  0.318  0.000  0.03
F  0.818  0.182  0.500  0.03
Ho  0.500  0.500  0.500  0.44
Ho  0.000  0.000  0.000  0.46
F  0.682  0.682  0.000  0.03
F  0.182  0.818  0.500  0.03

Properties
* space group: No. 136
* E_tot: -6.00 eV/atom
* crystal system: tetragonal
* calculated volume: 93.9 Å³/cell

=====

Entry 6:
Material: HoF2
Method: DFT, PBE
State: relaxed

Cell lengths 6.715, 6.715, 6.715 Å; angles 60.00, 60.00, 60.00 degrees
Sites, in units of the cell vectors:
F  0.375  0.375  0.875
F  0.875  0.375  0.375
F  0.375  0.375  0.375
Ho  0.500  0.500  0.500
F  0.375  0.875  0.375
Ho  0.250  0.250  0.250

Properties
* space group: No. 227
* E_tot: -5.81 eV/atom
* crystal system: cubic
* calculated volume: 214.1 Å³/cell

=====

Entry 7:
Material: K3HoF6
Method: DFT, PBE
State: relaxed

Cell lengths 6.110, 6.433, 10.453 Å; angles 90.00, 124.09, 90.00 degrees
Sites, in units of the cell vectors:
K  0.224  0.938  0.245
F  0.257  0.224  0.425
Ho  0.500  0.000  0.000
K  0.000  0.000  0.500
F  0.840  0.176  0.054
K  0.776  0.062  0.755
F  0.743  0.776  0.575
F  0.601  0.437  0.730
F  0.160  0.824  0.946
F  0.257  0.276  0.925
F  0.840  0.324  0.554
F  0.399  0.563  0.270
F  0.743  0.724  0.075
F  0.160  0.676  0.446
F  0.399  0.937  0.770
K  0.224  0.562  0.745
K  0.000  0.500  0.000
K  0.776  0.438  0.255
Ho  0.500  0.500  0.500
F  0.601  0.063  0.230

Properties
* space group: No. 14
* E_tot: -5.24 eV/atom
* crystal system: monoclinic
* calculated volume: 340.3 Å³/cell

=====

Entry 8:
Material: Na5Ho4Si4O16F
Method: DFT, PBE
State: relaxed

Cell lengths 8.556, 8.556, 8.556 Å; angles 95.66, 95.66, 143.38 degrees
Sites, in units of the cell vectors:
Si  0.593  0.242  0.857
Ho  0.842  0.139  0.934
O  0.624  0.125  0.720
O  0.078  0.216  0.766
Si  0.386  0.737  0.143
O  0.875  0.596  0.499
F  0.000  0.000  0.000
O  0.404  0.903  0.280
O  0.688  0.922  0.138
O  0.195  0.636  0.965
Na  0.611  0.918  0.515
Ho  0.861  0.795  0.703
O  0.784  0.550  0.862
Na  0.500  0.500  0.000
Si  0.263  0.407  0.649
O  0.275  0.037  0.827
O  0.553  0.725  0.762
O  0.364  0.329  0.559
O  0.770  0.805  0.441
O  0.963  0.790  0.238
O  0.097  0.376  0.501
Na  0.904  0.389  0.307
O  0.210  0.447  0.173
Ho  0.092  0.158  0.297
Na  0.082  0.597  0.693
Na  0.403  0.096  0.485
O  0.450  0.312  0.234
O  0.671  0.230  0.035
Ho  0.205  0.908  0.066
Si  0.758  0.614  0.351

Properties
* space group: No. 82
* E_tot: -7.20 eV/atom
* crystal system: tetragonal
* calculated volume: 354.7 Å³/cell

=====

Entry 9:
Material: NdHoS2F2
Method: DFT, PBE
State: relaxed

Cell lengths 3.807, 3.807, 6.836 Å; angles 90.00, 90.00, 90.00 degrees
Sites, in units of the cell vectors:
F  0.000  0.500  0.994
S  0.000  0.000  0.650
F  0.500  0.000  0.994
Ho  0.500  0.500  0.770
S  0.500  0.500  0.364
Nd  0.000  0.000  0.228

Properties
* space group: No. 99
* E_tot: -6.54 eV/atom
* crystal system: tetragonal
* calculated volume: 99.1 Å³/cell

=====

Entry 10:
Material: Ho2SeOF2
Method: DFT, PBE
State: relaxed

Cell lengths 13.175, 13.175, 3.685 Å; angles 90.00, 90.00, 120.00 degrees
Sites, in units of the cell vectors:
Ho  0.485  0.603  0.250
F  0.104  0.203  0.750
Ho  0.118  0.515  0.250
Ho  0.233  0.288  0.250
Ho  0.515  0.397  0.750
O  0.426  0.412  0.250
Se  0.719  0.512  0.250
F  0.797  0.901  0.750
F  0.896  0.797  0.250
F  0.247  0.932  0.250
Se  0.281  0.488  0.750
F  0.315  0.247  0.750
F  0.901  0.104  0.250
O  0.574  0.588  0.750
Ho  0.603  0.118  0.750
F  0.753  0.068  0.750
Se  0.793  0.281  0.250
Se  0.512  0.793  0.750
O  0.014  0.426  0.750
Ho  0.055  0.767  0.250
Se  0.207  0.719  0.750
Ho  0.288  0.055  0.750
Ho  0.945  0.233  0.750
F  0.068  0.315  0.250
F  0.203  0.099  0.250
Ho  0.712  0.945  0.250
F  0.932  0.685  0.750
Ho  0.767  0.712  0.750
Ho  0.397  0.882  0.250
F  0.099  0.896  0.750
Ho  0.882  0.485  0.750
O  0.588  0.014  0.250
O  0.986  0.574  0.250
O  0.412  0.986  0.750
F  0.685  0.753  0.250
Se  0.488  0.207  0.250

Properties
* space group: No. 176
* E_tot: -6.96 eV/atom
* crystal system: hexagonal
* calculated volume: 554.0 Å³/cell

=====

Entry 11:
Material: Ho3Si3O10F
Method: DFT, PBE
State: relaxed

Cell lengths 7.285, 11.058, 10.315 Å; angles 90.00, 97.23, 90.00 degrees
Sites, in units of the cell vectors:
Ho  0.407  0.272  0.812
Si  0.770  0.755  0.890
O  0.184  0.607  0.379
Si  0.006  0.537  0.292
O  0.210  0.145  0.696
O  0.268  0.321  0.982
O  0.684  0.893  0.879
Ho  0.737  0.968  0.481
Ho  0.593  0.728  0.188
F  0.197  0.215  0.439
Ho  0.237  0.532  0.981
O  0.732  0.679  0.018
O  0.658  0.678  0.766
Ho  0.300  0.403  0.495
Ho  0.093  0.772  0.688
O  0.986  0.975  0.637
Ho  0.200  0.903  0.005
Ho  0.907  0.228  0.312
O  0.316  0.107  0.121
O  0.842  0.178  0.734
O  0.486  0.525  0.137
Si  0.025  0.087  0.741
Si  0.475  0.587  0.759
Si  0.270  0.745  0.390
O  0.955  0.948  0.106
O  0.768  0.179  0.482
O  0.290  0.645  0.804
Si  0.730  0.255  0.610
O  0.022  0.410  0.373
O  0.037  0.521  0.138
O  0.478  0.910  0.127
O  0.537  0.979  0.638
O  0.710  0.355  0.196
F  0.697  0.285  0.939
O  0.688  0.106  0.193
Si  0.230  0.245  0.110
O  0.812  0.606  0.307
O  0.545  0.448  0.394
F  0.303  0.715  0.061
O  0.011  0.227  0.118
Si  0.506  0.963  0.792
O  0.188  0.394  0.693
Si  0.525  0.413  0.241
O  0.514  0.475  0.863
O  0.989  0.773  0.882
O  0.511  0.273  0.618
Si  0.494  0.037  0.208
O  0.455  0.552  0.606
O  0.232  0.821  0.518
O  0.963  0.479  0.862
O  0.158  0.822  0.266
O  0.312  0.894  0.807
O  0.342  0.322  0.234
Ho  0.263  0.032  0.519
Ho  0.763  0.468  0.019
F  0.803  0.785  0.561
O  0.790  0.855  0.304
O  0.463  0.021  0.362
O  0.816  0.393  0.621
O  0.978  0.590  0.627
Si  0.994  0.463  0.708
Ho  0.700  0.597  0.505
O  0.522  0.090  0.873
Ho  0.800  0.097  0.995
Si  0.975  0.913  0.259
O  0.489  0.727  0.382
O  0.014  0.025  0.363
O  0.045  0.052  0.894

Properties
* space group: No. 14
* E_tot: -8.07 eV/atom
* crystal system: monoclinic
* calculated volume: 824.4 Å³/cell

=====

Entry 12:
Material: HoPb3F
Method: DFT, PBE
State: relaxed

Cell lengths 11.027, 11.027, 6.623 Å; angles 90.00, 90.00, 160.02 degrees
Sites, in units of the cell vectors:
Pb  0.688  0.312  0.505
F  0.464  0.536  0.750
Pb  0.688  0.312  0.995
Pb  0.312  0.688  0.005
Pb  0.312  0.688  0.495
Ho  0.921  0.079  0.750
Pb  0.087  0.913  0.750
F  0.536  0.464  0.250
Ho  0.079  0.921  0.250
Pb  0.913  0.087  0.250

Properties
* space group: No. 63
* E_tot: -4.54 eV/atom
* crystal system: orthorhombic
* calculated volume: 275.2 Å³/cell

=====

What did the tenth record say?
Material: Ho2SeOF2
Method: DFT, PBE
State: relaxed

Cell lengths 13.175, 13.175, 3.685 Å; angles 90.00, 90.00, 120.00 degrees
Sites, in units of the cell vectors:
Ho  0.485  0.603  0.250
F  0.104  0.203  0.750
Ho  0.118  0.515  0.250
Ho  0.233  0.288  0.250
Ho  0.515  0.397  0.750
O  0.426  0.412  0.250
Se  0.719  0.512  0.250
F  0.797  0.901  0.750
F  0.896  0.797  0.250
F  0.247  0.932  0.250
Se  0.281  0.488  0.750
F  0.315  0.247  0.750
F  0.901  0.104  0.250
O  0.574  0.588  0.750
Ho  0.603  0.118  0.750
F  0.753  0.068  0.750
Se  0.793  0.281  0.250
Se  0.512  0.793  0.750
O  0.014  0.426  0.750
Ho  0.055  0.767  0.250
Se  0.207  0.719  0.750
Ho  0.288  0.055  0.750
Ho  0.945  0.233  0.750
F  0.068  0.315  0.250
F  0.203  0.099  0.250
Ho  0.712  0.945  0.250
F  0.932  0.685  0.750
Ho  0.767  0.712  0.750
Ho  0.397  0.882  0.250
F  0.099  0.896  0.750
Ho  0.882  0.485  0.750
O  0.588  0.014  0.250
O  0.986  0.574  0.250
O  0.412  0.986  0.750
F  0.685  0.753  0.250
Se  0.488  0.207  0.250

Properties
* space group: No. 176
* E_tot: -6.96 eV/atom
* crystal system: hexagonal
* calculated volume: 554.0 Å³/cell

=====

Look up the E_tot of the second one. -1.77 eV/atom

=====

Which of these has the lowest E_tot? Ho3Si3O10F